This record from the Alexandria database describes a geometry-optimized Cs2U3AgS8 structure. The functional is GGA-PBE.

Output
- Uncorrected formation energy: -1.245 eV/atom
- Theoretical density: 4.7 g/cm³
- D(E_F): 14.913 states/eV per cell

Structure (POSCAR):
```
Cs2U3AgS8
1.0
4.020 2.321 8.558
-4.020 2.321 8.558
0.000 -4.642 8.558
Cs U Ag S
2 3 1 8
direct
0.000 0.000 0.000 Cs
0.356 0.356 0.356 Cs
0.499 0.999 0.999 U
0.999 0.499 0.999 U
0.999 0.999 0.499 U
0.535 0.535 0.535 Ag
0.198 0.736 0.736 S
0.221 0.221 0.221 S
0.262 0.262 0.806 S
0.262 0.806 0.262 S
0.736 0.198 0.736 S
0.736 0.736 0.198 S
0.777 0.777 0.777 S
0.806 0.262 0.262 S
```